No. 1
The following is a DFT calculation (GGA-PBE) of a relaxed Rb6NaCd2 crystal.

Unit cell a=12.4239 b=12.8347 c=13.9941 alpha=90.00 beta=90.00 gamma=90.00
Last column: nearest neighbours and their distance in Å.
Space group Immm (No. 71)
Symmetry-distinct sites (fractional):
1 Rb 0.0000 0.1987 0.1789 (multiplicity 8)  3 Cd 3.89-3.94
2 Rb 0.1890 0.2166 0.5000 (multiplicity 8)  3 Cd 3.93-4.31, 1 Na 4.33
3 Rb 0.2061 0.5000 0.2590 (multiplicity 8)  2 Cd 3.98-4.23, 2 Na 4.23-4.44
4 Na 0.0000 0.5000 0.0000 (multiplicity 2)  12 Rb 4.44-4.76
5 Na 0.0000 0.5000 0.5000 (multiplicity 2)  8 Rb 4.23-4.33, 2 Cd 4.67
6 Cd 0.0000 0.0000 0.3933 (multiplicity 4)  1 Cd 2.99
7 Cd 0.1242 0.0000 0.0000 (multiplicity 4)  1 Cd 3.09

Calculated values
The crystal system is orthorhombic. The spin magnetization is 0.00 μB per cell. For the electronic total energy, the calculation gives -0.0738 Ry per atom. The formation energy is -8 kJ/mol of formula units. The calculation puts the volume at 61.98 Å³/atom.

***

No. 2
The following is a DFT calculation (GGA-PBE) of a relaxed RbNa2Cd crystal.

Unit cell a=5.2844 b=5.2844 c=24.9975 alpha=90.00 beta=90.00 gamma=90.00
Last column: nearest neighbours and their distance in Å.
Space group I-42d (No. 122)
Symmetry-distinct sites (fractional):
1 Rb 0.0000 0.0000 0.0000 (multiplicity 4)  4 Cd 3.74, 4 Na 3.75
2 Na 0.1969 0.2500 0.6250 (multiplicity 8)  2 Na 3.36, 2 Cd 3.55, 2 Rb 3.75
3 Cd 0.0000 0.0000 0.5000 (multiplicity 4)  4 Na 3.55, 4 Rb 3.74

Calculated values
The crystal system is tetragonal. The spin magnetization is 0.00 μB per cell. For the electronic total energy, the calculation gives -0.0766 Ry per atom. The formation energy is 34 kJ/mol of formula units. The calculation puts the volume at 43.63 Å³/atom.

***

No. 3
The following is a DFT calculation (GGA-PBE) of a relaxed Rb2NaCd6 crystal.

Unit cell a=15.4166 b=8.8719 c=4.5760 alpha=90.00 beta=90.07 gamma=90.00
Last column: nearest neighbours and their distance in Å.
Space group C2/m (No. 12)
Symmetry-distinct sites (fractional):
1 Rb 0.1668 0.0000 0.0000 (multiplicity 4)  12 Cd 3.76-3.77
2 Na 0.0000 0.5000 0.0000 (multiplicity 2)  12 Cd 3.69-3.71
3 Cd 0.0000 0.1730 0.5000 (multiplicity 4)  3 Cd 2.91-3.07
4 Cd 0.1637 0.3360 0.5000 (multiplicity 8)  3 Cd 2.91-3.07

Calculated values
The crystal system is monoclinic. The spin magnetization is 0.00 μB per cell. For the electronic total energy, the calculation gives -0.0722 Ry per atom. The formation energy is -10 kJ/mol of formula units. The calculation puts the volume at 34.77 Å³/atom.

***

No. 4
The following is a DFT calculation (GGA-PBE) of a relaxed Rb4NaCd crystal.

Unit cell a=11.9178 b=18.1013 c=7.6282 alpha=90.00 beta=110.19 gamma=90.00
Last column: nearest neighbours and their distance in Å.
Space group C2/c (No. 15)
Symmetry-distinct sites (fractional):
1 Rb 0.1130 0.1758 0.0672 (multiplicity 8)  2 Cd 3.92, 1 Na 4.29
2 Rb 0.2085 0.4242 0.3506 (multiplicity 8)  2 Cd 4.00-4.04, 1 Na 4.32
3 Na 0.0000 0.3749 0.7500 (multiplicity 4)  10 Rb 4.29-4.63
4 Cd 0.0000 0.0016 0.7500 (multiplicity 4)  2 Cd 3.81, 8 Rb 3.92-4.04

Calculated values
The crystal system is monoclinic. The spin magnetization is 0.00 μB per cell. For the electronic total energy, the calculation gives -0.0738 Ry per atom. The formation energy is 7 kJ/mol of formula units. The calculation puts the volume at 64.35 Å³/atom.

***

Q: Which value of spin magnetization does entry 1 give?
A: 0.00 μB per cell

***

Q: What is the spin magnetization in the third record?
A: 0.00 μB per cell

***

Q: What is the spin magnetization in the second record?
A: 0.00 μB per cell